# 1
Here is a geometry-optimized KVRe2 structure from Alexandria via LeMat-Bulk. Energies are from PBE.

## Properties
The calculated formation energy is 6.6 eV per formula unit. The calculation puts the energy above the lowest structure with this stoichiometry at 0.0 meV per atom. The value obtained for the total energy is -28.49 eV/cell. The value obtained for the density of states at the Fermi level is 4.6 states/eV per cell.

Cell: 4.5311 4.5311 4.5311 Å, 60.00 60.00 60.00°
Closest atoms and distances in Å follow each position.
Element x y z (fractional)
Re 0.2500 0.2500 0.2500  4 V 2.77, 4 K 2.77
Re 0.7500 0.7500 0.7500  4 V 2.77, 4 K 2.77
K 0.0000 0.0000 0.0000  8 Re 2.77
V 0.5000 0.5000 0.5000  8 Re 2.77

***

# 2
Here is a geometry-optimized Yb4Ge6Os7 structure from Alexandria via LeMat-Bulk. Energies are from PBE.

## Properties
The calculated formation energy is -4.0 eV per formula unit. The value obtained for the total energy is -116.43 eV/cell. The value obtained for the density of states at the Fermi level is 15.3 states/eV per cell.

Cell: 7.2219 7.2219 7.2219 Å, 109.47 109.47 109.47°
Closest atoms and distances in Å follow each position.
Element x y z (fractional)
Yb 0.0000 0.5000 0.0000  6 Os 2.95, 6 Ge 2.99
Yb 0.5000 0.0000 0.0000  6 Os 2.95, 6 Ge 2.99
Yb 0.0000 0.0000 0.5000  6 Os 2.95, 6 Ge 2.99
Yb 0.5000 0.5000 0.5000  6 Os 2.95, 6 Ge 2.99
Ge 0.6908 0.0000 0.6908  5 Os 2.58-2.62
Ge 0.0000 0.3092 0.3092  5 Os 2.58-2.62
Ge 0.3092 0.3092 0.0000  5 Os 2.58-2.62
Ge 0.3092 0.0000 0.3092  5 Os 2.58-2.62
Ge 0.0000 0.6908 0.6908  5 Os 2.58-2.62
Ge 0.6908 0.6908 0.0000  5 Os 2.58-2.62
Os 0.2500 0.5000 0.7500  4 Ge 2.62
Os 0.5000 0.2500 0.7500  4 Ge 2.62
Os 0.2500 0.7500 0.5000  4 Ge 2.62
Os 0.5000 0.7500 0.2500  4 Ge 2.62
Os 0.7500 0.5000 0.2500  4 Ge 2.62
Os 0.7500 0.2500 0.5000  4 Ge 2.62
Os 0.0000 0.0000 0.0000  6 Ge 2.58

***

# 3
Here is a geometry-optimized VFe2Ru2 structure from Alexandria via LeMat-Bulk. Energies are from PBE.

## Properties
The calculated formation energy is 0.7 eV per formula unit. The calculation puts the energy above the lowest structure with this stoichiometry at 0.0 meV per atom. The value obtained for the total energy is -87.77 eV/cell. The value obtained for the density of states at the Fermi level is 12.5 states/eV per cell.

Cell: 6.9227 6.9227 2.6724 Å, 90.00 90.00 90.00°
Closest atoms and distances in Å follow each position.
Element x y z (fractional)
Ru 0.1756 0.6756 0.5000  6 Fe 2.40-2.48, 2 Ru 2.67
Ru 0.6756 0.8244 0.5000  6 Fe 2.40-2.48, 2 Ru 2.67
Ru 0.8244 0.3244 0.5000  6 Fe 2.40-2.48, 2 Ru 2.67
Ru 0.3244 0.1756 0.5000  6 Fe 2.40-2.48, 2 Ru 2.67
Fe 0.3797 0.8797 0.0000  1 Fe 2.36, 6 Ru 2.40-2.48
Fe 0.8797 0.6203 0.0000  1 Fe 2.36, 6 Ru 2.40-2.48
Fe 0.6203 0.1203 0.0000  1 Fe 2.36, 6 Ru 2.40-2.48
Fe 0.1203 0.3797 0.0000  1 Fe 2.36, 6 Ru 2.40-2.48
V 0.0000 0.0000 0.0000  2 V 2.67, 4 Fe 2.76, 8 Ru 2.88
V 0.5000 0.5000 0.0000  2 V 2.67, 4 Fe 2.76, 8 Ru 2.88

***

# 4
Here is a geometry-optimized Li4Cu3Pd structure from Alexandria via LeMat-Bulk. Energies are from PBE.

## Properties
The calculated formation energy is -0.9 eV per formula unit. The calculation puts the energy above the lowest structure with this stoichiometry at 18.2 meV per atom. The value obtained for the total energy is -26.08 eV/cell. The value obtained for the density of states at the Fermi level is 2.1 states/eV per cell.

Cell: 3.9222 3.7855 7.9124 Å, 76.14 104.35 90.00°
Closest atoms and distances in Å follow each position.
Element x y z (fractional)
Li 0.3839 0.6161 0.7679  2 Pd 2.56, 6 Cu 2.61-2.73, 4 Li 2.73-2.81
Li 0.6161 0.3839 0.2321  2 Pd 2.56, 6 Cu 2.61-2.73, 4 Li 2.73-2.81
Li 0.7488 0.7511 0.4977  8 Li 2.73-2.81, 4 Cu 2.73-2.76
Li 0.2512 0.2489 0.5023  8 Li 2.73-2.81, 4 Cu 2.73-2.76
Cu 0.0000 0.5000 0.0000  4 Cu 2.58, 4 Li 2.61, 4 Pd 2.73
Cu 0.1184 0.8820 0.2367  2 Cu 2.58, 2 Pd 2.63, 8 Li 2.72-2.76
Cu 0.8816 0.1180 0.7633  2 Cu 2.58, 2 Pd 2.63, 8 Li 2.72-2.76
Pd 0.5000 0.0000 0.0000  4 Li 2.56, 8 Cu 2.63-2.73

***

# 5
Here is a geometry-optimized Pm4DyCo structure from Alexandria via LeMat-Bulk. Energies are from PBE.

## Properties
The calculated formation energy is 0.1 eV per formula unit. The value obtained for the total energy is -61.28 eV/cell. The value obtained for the density of states at the Fermi level is 17.0 states/eV per cell.

Cell: 5.9889 7.3059 9.5810 Å, 112.41 108.23 90.00°
Closest atoms and distances in Å follow each position.
Element x y z (fractional)
Pm 0.1752 0.6751 0.3501  2 Co 3.46-3.47, 6 Pm 3.51-3.64, 4 Dy 3.67-3.68
Pm 0.3815 0.1292 0.7623  2 Co 2.92-2.93
Pm 0.0000 0.2327 0.0000  2 Co 2.70
Pm 0.6185 0.3669 0.2377  2 Co 2.92-2.93
Pm 0.8248 0.3249 0.6499  2 Co 3.46-3.47, 6 Pm 3.51-3.64, 4 Dy 3.67-3.68
Pm 0.6185 0.8708 0.2377  2 Co 2.92-2.93
Pm 0.0000 0.7673 0.0000  2 Co 2.70
Pm 0.3815 0.6331 0.7623  2 Co 2.92-2.93
Dy 0.8036 0.8031 0.6063  12 Pm 3.58-3.73
Dy 0.1964 0.1969 0.3937  12 Pm 3.58-3.73
Co 0.3122 0.5003 0.0007  1 Co 2.25
Co 0.6878 0.4997 0.9993  1 Co 2.25

***

# 6
Here is a geometry-optimized SmNb2Fe9 structure from Alexandria via LeMat-Bulk. Energies are from PBE.

## Properties
The calculated formation energy is -0.9 eV per formula unit. The value obtained for the total energy is -101.95 eV/cell. The value obtained for the density of states at the Fermi level is 10.4 states/eV per cell.

Cell: 4.9358 4.9358 8.3807 Å, 72.87 72.87 60.00°
Closest atoms and distances in Å follow each position.
Element x y z (fractional)
Sm 0.0000 0.0000 0.0000  6 Fe 2.85
Nb 0.8558 0.8558 0.4325  12 Fe 2.80-2.90, 3 Nb 3.04
Nb 0.1442 0.1442 0.5675  12 Fe 2.80-2.90, 3 Nb 3.04
Fe 0.6668 0.6668 0.9997  6 Fe 2.49-2.51
Fe 0.3332 0.3332 0.0003  6 Fe 2.49-2.51
Fe 0.5000 0.5000 0.5000  6 Fe 2.38
Fe 0.4116 0.4116 0.2603  7 Fe 2.38-2.51
Fe 0.9166 0.4116 0.2603  7 Fe 2.38-2.51
Fe 0.4116 0.9166 0.2603  7 Fe 2.38-2.51
Fe 0.5884 0.5884 0.7397  7 Fe 2.38-2.51
Fe 0.5884 0.0834 0.7397  7 Fe 2.38-2.51
Fe 0.0834 0.5884 0.7397  7 Fe 2.38-2.51

***

# 7
Here is a geometry-optimized K2CrRe structure from Alexandria via LeMat-Bulk. Energies are from PBE.

## Properties
The calculated formation energy is 6.2 eV per formula unit. The calculation puts the energy above the lowest structure with this stoichiometry at 693.9 meV per atom. The value obtained for the total energy is -18.05 eV/cell. The value obtained for the density of states at the Fermi level is 2.2 states/eV per cell.

Cell: 2.8395 5.3911 5.9108 Å, 90.00 90.00 90.00°
Closest atoms and distances in Å follow each position.
Element x y z (fractional)
Cr 0.5000 0.7500 0.5000  2 Re 2.70, 2 Cr 2.84
K 0.0000 0.0019 0.0000  4 K 2.67-2.84
K 0.0000 0.4979 0.0000  4 K 2.67-2.84
Re 0.5000 0.2499 0.5000  2 Cr 2.70, 2 Re 2.84

***

# 8
Here is a geometry-optimized Ba2HPt structure from Alexandria via LeMat-Bulk. Energies are from PBE.

## Properties
The calculation puts the energy above the lowest structure with this stoichiometry at 120.9 meV per atom. The value obtained for the total energy is -14.95 eV/cell. The value obtained for the density of states at the Fermi level is 2.7 states/eV per cell.

Cell: 5.3612 5.3612 5.3612 Å, 60.00 60.00 60.00°
Closest atoms and distances in Å follow each position.
Element x y z (fractional)
H 0.0000 0.0000 0.0000  8 Ba 3.28
Ba 0.2500 0.2500 0.2500  4 Pt 3.28, 4 H 3.28
Ba 0.7500 0.7500 0.7500  4 H 3.28, 4 Pt 3.28
Pt 0.5000 0.5000 0.5000  8 Ba 3.28

***

# 9
Here is a geometry-optimized CaIn2Ni structure from Alexandria via LeMat-Bulk. Energies are from PBE.

## Properties
The calculated formation energy is -0.4 eV per formula unit. The value obtained for the total energy is -27.25 eV/cell. The value obtained for the density of states at the Fermi level is 3.1 states/eV per cell.

Cell: 3.9052 3.9052 13.1574 Å, 90.00 90.00 90.00°
Closest atoms and distances in Å follow each position.
Element x y z (fractional)
Ca 0.7521 0.2479 0.7500  4 Ni 2.76
Ca 0.2479 0.7521 0.2500  4 Ni 2.76
In 0.2503 0.7497 0.9411  1 Ni 2.51
In 0.7497 0.2503 0.4411  1 Ni 2.51
In 0.2503 0.7497 0.5589  1 Ni 2.51
In 0.7497 0.2503 0.0589  1 Ni 2.51
Ni 0.2521 0.7479 0.7500  2 In 2.51, 4 Ca 2.76
Ni 0.7479 0.2521 0.2500  2 In 2.51, 4 Ca 2.76

***

# 10
Here is a geometry-optimized Ce2HoTmN4 structure from Alexandria via LeMat-Bulk. Energies are from PBE.

## Properties
The energy relative to the elements, uncorrected comes out at -12.98 eV/f.u. The value obtained for the total energy is -67.20 eV/cell. The value obtained for the density of states at the Fermi level is 4.4 states/eV per cell.

Cell: 3.4945 6.0523 6.0690 Å, 109.42 90.00 90.00°
Closest atoms and distances in Å follow each position.
Element x y z (fractional)
Ce 0.5000 0.0000 0.5000  6 N 2.49
Ce 0.0000 0.5000 0.5000  6 N 2.50
Ho 0.5000 0.5000 0.0000  6 N 2.46
Tm 0.0000 0.0000 0.0000  6 N 2.45
N 0.5000 0.2458 0.2432  2 Tm 2.45, 1 Ho 2.46, 3 Ce 2.49-2.50
N 0.5000 0.7542 0.7568  2 Tm 2.45, 1 Ho 2.46, 3 Ce 2.49-2.50
N 0.0000 0.2499 0.7555  1 Tm 2.45, 2 Ho 2.46, 3 Ce 2.49-2.50
N 0.0000 0.7501 0.2445  1 Tm 2.45, 2 Ho 2.46, 3 Ce 2.49-2.50